Record 1
A plane-wave DFT calculation with PBE-GGA was carried out for crystalline AcPb2 at its relaxed geometry.

Values from the calculation:
- energy above the lowest structure with this stoichiometry (meV per atom) = 153
- formation energy from the elements (meV per atom) = -301
- space-group type = C2/m

Unit cell a=4.738 b=4.738 c=5.292 alpha=106.96 beta=106.96 gamma=90.18
Fractional positions:
Ac  0.000  0.000  0.000
Pb  0.366  0.366  0.684
Pb  0.634  0.634  0.316


Record 2
A plane-wave DFT calculation with PBE-GGA was carried out for crystalline TlSi2NiW at its relaxed geometry.

Values from the calculation:
- space-group type = P4/mmm

Unit cell a=4.815 b=4.815 c=4.746 alpha=90.00 beta=90.00 gamma=90.00
Fractional positions:
Tl  0.000  0.000  0.000
Si  0.000  0.500  0.500
Si  0.500  0.000  0.500
Ni  0.500  0.500  0.000
W  0.500  0.500  0.500


Number 1: total energy -4.1423 eV per atom. Number 2: total energy -5.6202 eV per atom.